A relaxed Li2MnCSO7 crystal, computed with PBE+U.

## Properties
Energy ... -0.24465 Ha/atom

POSCAR file:
```
Li2MnCSO7
1.0
4.941 0.000 -0.005
0.000 6.497 0.000
-1.322 0.000 9.288
O Mn Li S C
14 2 4 2 2
Cartesian
2.181 4.873 1.668
-0.060 1.624 5.048
0.020 4.873 1.090
0.285 4.873 8.763
0.197 2.822 2.920
3.334 1.624 0.520
1.553 4.873 5.356
3.422 6.070 6.364
2.066 1.624 3.928
3.599 1.624 8.193
3.422 3.675 6.364
0.197 0.427 2.920
1.439 1.624 7.615
3.679 4.873 4.236
2.856 1.624 5.919
0.763 4.873 3.364
-0.071 0.098 7.764
-0.071 3.150 7.764
3.690 3.347 1.519
3.690 6.398 1.519
3.034 4.873 5.566
0.585 1.624 3.717
1.268 4.873 0.712
2.351 1.624 8.571
```